Entry 1:
The following is a PBE calculation of LaLuAu after structural relaxation, from Alexandria.

Structure (POSCAR):
```
LaLuAu
1.0
-1.807 1.807 6.422
1.807 -1.807 6.422
1.807 1.807 -6.422
La Lu Au
1 1 1
direct
0.000 0.000 0.000
0.285 0.285 0.000
0.673 0.673 0.000
```

The value obtained for the energy of formation is -547 meV/atom. As for the density of states at the Fermi level: 1.07 states/eV per atom. As for the excess energy over the best structure of this formula in the dataset: 0 meV/atom. The size of the total moment comes out at 0.00 μB per atom. Its density is 10.113 Mg/m³.

Entry 2:
The following is a PBE calculation of LaLuAu after structural relaxation, from Alexandria.

Structure (POSCAR):
```
LaLuAu
1.0
4.923 0.000 0.000
-2.461 4.263 0.000
0.000 0.000 4.036
La Lu Au
1 1 1
direct
0.000 0.000 0.000
0.667 0.333 0.502
0.333 0.667 0.465
```

The value obtained for the energy of formation is -448 meV/atom. As for the density of states at the Fermi level: 1.02 states/eV per atom. As for the excess energy over the best structure of this formula in the dataset: 99 meV/atom. The size of the total moment comes out at 0.00 μB per atom. Its density is 10.013 Mg/m³.

Q: What is the formula in the first record?
A: LaLuAu